# 1
An optimized crystal structure of Y4Bi2B, computed with GGA-PBE.

```
Y4Bi2B
1.0
4.787 0.000 0.000
0.000 4.787 0.000
0.000 0.000 17.651
Y Bi B
8 4 2
Direct
0.000 0.000 0.173 Y
0.000 0.000 0.827 Y
0.000 0.500 0.000 Y
0.000 0.500 0.500 Y
0.500 0.000 0.000 Y
0.500 0.000 0.500 Y
0.500 0.500 0.327 Y
0.500 0.500 0.673 Y
0.000 0.000 0.354 Bi
0.000 0.000 0.646 Bi
0.500 0.500 0.146 Bi
0.500 0.500 0.854 Bi
0.000 0.000 0.500 B
0.500 0.500 0.000 B
```

Calculated values
Its space group is I4/mmm (139). Its total magnetic moment is 0.0 μB per formula unit. For the formation enthalpy at 0 K, the calculation gives -0.1921 eV/atom.

# 2
An optimized crystal structure of TbPm2UP4, computed with GGA-PBE.

```
TbPm2UP4
1.0
7.005 0.000 0.000
0.000 4.037 0.000
-2.309 0.000 6.633
Tb Pm U P
1 2 1 4
Direct
0.000 0.000 0.000 Tb
0.000 0.500 0.500 Pm
0.500 0.000 0.500 Pm
0.500 0.500 0.000 U
0.253 0.500 0.238 P
0.259 0.000 0.764 P
0.741 0.000 0.236 P
0.747 0.500 0.762 P
```

Calculated values
Its space group is P2/m (10). Its total magnetic moment is 2.0 μB per formula unit. For the formation enthalpy at 0 K, the calculation gives -1.4277 eV/atom.

# 3
An optimized crystal structure of Mg5Tl2Pb4, computed with GGA-PBE.

```
Mg5Tl2Pb4
1.0
0.000 5.359 10.148
3.092 0.000 10.148
3.092 5.359 0.000
Mg Tl Pb
5 2 4
Direct
0.000 0.000 0.000 Mg
0.000 0.000 0.500 Mg
0.250 0.250 0.250 Mg
0.500 0.500 0.000 Mg
0.750 0.750 0.750 Mg
0.410 0.410 0.590 Tl
0.590 0.590 0.410 Tl
0.033 0.711 0.289 Pb
0.289 0.967 0.033 Pb
0.711 0.033 0.967 Pb
0.967 0.289 0.711 Pb
```

Calculated values
The calculation puts the offset from the most stable computed form at 75 meV/atom. Its space group is Fmmm (69). Its total magnetic moment is 0.0 μB per formula unit. For the formation enthalpy at 0 K, the calculation gives 0.0551 eV/atom.

# 4
An optimized crystal structure of CrSiIrPd2, computed with GGA-PBE.

```
CrSiIrPd2
1.0
4.438 0.000 0.000
0.000 4.438 0.000
0.000 0.000 4.375
Cr Si Ir Pd
1 1 1 2
Direct
0.000 0.000 0.000 Cr
0.000 0.000 0.500 Si
0.500 0.500 0.500 Ir
0.000 0.500 0.000 Pd
0.500 0.000 0.000 Pd
```

Calculated values
Its space group is P4/mmm (123). Its total magnetic moment is 0.0 μB per formula unit. The energy relative to the elements, uncorrected comes out at 1184 meV/atom.

# 5
An optimized crystal structure of LiGe2Mo2, computed with GGA-PBE.

```
LiGe2Mo2
1.0
4.829 0.000 0.000
0.000 4.829 0.000
0.000 0.000 7.975
Li Ge Mo
2 4 4
Direct
0.000 0.000 0.000 Li
0.500 0.500 0.500 Li
0.000 0.500 0.250 Ge
0.000 0.500 0.750 Ge
0.500 0.000 0.250 Ge
0.500 0.000 0.750 Ge
0.000 0.000 0.355 Mo
0.000 0.000 0.645 Mo
0.500 0.500 0.145 Mo
0.500 0.500 0.855 Mo
```

Calculated values
The calculation puts the offset from the most stable computed form at 301 meV/atom. Its space group is I4/mmm (139). Its total magnetic moment is 0.0 μB per formula unit. For the formation enthalpy at 0 K, the calculation gives 0.2328 eV/atom.

# 6
An optimized crystal structure of Pr3YIr, computed with GGA-PBE.

```
Pr3YIr
1.0
5.650 0.000 0.000
0.000 5.650 0.000
0.000 0.000 5.650
Pr Y Ir
3 1 1
Direct
0.000 0.000 0.500 Pr
0.000 0.500 0.000 Pr
0.500 0.000 0.000 Pr
0.500 0.500 0.500 Y
0.000 0.000 0.000 Ir
```

Calculated values
Its space group is Pm-3m (221). Its total magnetic moment is 0.0 μB per formula unit. For the formation enthalpy at 0 K, the calculation gives -0.1061 eV/atom.

# 7
An optimized crystal structure of InAuN2O, computed with GGA-PBE.

```
InAuN2O
1.0
4.066 0.000 0.000
0.000 4.066 0.000
0.000 0.000 4.441
In Au N O
1 1 2 1
Direct
0.000 0.000 0.000 In
0.500 0.500 0.500 Au
0.000 0.500 0.500 N
0.500 0.000 0.500 N
0.500 0.500 0.000 O
```

Calculated values
Its space group is P4/mmm (123). Its total magnetic moment is 2.0 μB per formula unit. The energy relative to the elements, uncorrected comes out at 1376 meV/atom.

# 8
An optimized crystal structure of Ag2Br, computed with GGA-PBE.

```
Ag2Br
1.0
8.411 0.000 0.000
0.000 3.755 0.000
-2.914 0.000 9.840
Ag Br
8 4
Direct
0.000 0.000 0.000 Ag
0.015 0.500 0.612 Ag
0.181 0.000 0.499 Ag
0.346 0.500 0.380 Ag
0.500 0.500 0.000 Ag
0.515 0.000 0.612 Ag
0.681 0.500 0.499 Ag
0.846 0.000 0.380 Ag
0.017 0.500 0.214 Br
0.162 0.500 0.879 Br
0.517 0.000 0.214 Br
0.662 0.000 0.879 Br
```

Calculated values
The calculation puts the offset from the most stable computed form at 115 meV/atom. Its space group is Cm (8). Its total magnetic moment is 0.0 μB per formula unit. The energy relative to the elements, uncorrected comes out at -44 meV/atom.

# 9
An optimized crystal structure of Zn2Pb, computed with GGA-PBE.

```
Zn2Pb
1.0
3.411 0.000 0.000
0.000 3.411 0.000
0.000 0.000 11.156
Zn Pb
4 2
Direct
0.000 0.000 0.198 Zn
0.000 0.000 0.802 Zn
0.500 0.500 0.302 Zn
0.500 0.500 0.698 Zn
0.000 0.000 0.500 Pb
0.500 0.500 0.000 Pb
```

Calculated values
Its space group is I4/mmm (139). Its total magnetic moment is 0.0 μB per formula unit. For the formation enthalpy at 0 K, the calculation gives 0.1536 eV/atom.

# 10
An optimized crystal structure of PaGe2Mo, computed with GGA-PBE.

```
PaGe2Mo
1.0
6.393 0.000 0.000
0.000 10.398 0.000
-3.008 0.000 4.779
Pa Ge Mo
4 8 4
Direct
0.000 0.115 0.250 Pa
0.000 0.885 0.750 Pa
0.500 0.385 0.750 Pa
0.500 0.615 0.250 Pa
0.076 0.389 0.078 Ge
0.076 0.611 0.578 Ge
0.424 0.111 0.922 Ge
0.424 0.889 0.422 Ge
0.576 0.111 0.578 Ge
0.576 0.889 0.078 Ge
0.924 0.389 0.422 Ge
0.924 0.611 0.922 Ge
0.000 0.195 0.750 Mo
0.000 0.805 0.250 Mo
0.500 0.305 0.250 Mo
0.500 0.695 0.750 Mo
```

Calculated values
The calculation puts the offset from the most stable computed form at 56 meV/atom. Its space group is C2/c (15). Its total magnetic moment is 0.0 μB per formula unit. For the formation enthalpy at 0 K, the calculation gives -0.2653 eV/atom.

# 11
An optimized crystal structure of Ca3LaAg, computed with GGA-PBE.

```
Ca3LaAg
1.0
5.765 0.000 0.000
0.000 5.765 0.000
0.000 0.000 5.765
Ca La Ag
3 1 1
Direct
0.000 0.000 0.500 Ca
0.000 0.500 0.000 Ca
0.500 0.000 0.000 Ca
0.500 0.500 0.500 La
0.000 0.000 0.000 Ag
```

Calculated values
The calculation puts the offset from the most stable computed form at 0 meV/atom. Its space group is Pm-3m (221). Its total magnetic moment is 0.0 μB per formula unit. For the formation enthalpy at 0 K, the calculation gives 0.0702 eV/atom.

# 12
An optimized crystal structure of CsNbV3, computed with GGA-PBE.

```
CsNbV3
1.0
4.911 0.000 0.000
0.000 4.911 0.000
0.000 0.000 4.911
Cs Nb V
1 1 3
Direct
0.000 0.000 0.000 Cs
0.500 0.500 0.500 Nb
0.000 0.500 0.500 V
0.500 0.000 0.500 V
0.500 0.500 0.000 V
```

Calculated values
The calculation puts the offset from the most stable computed form at 0 meV/atom. Its space group is Pm-3m (221). Its total magnetic moment is 0.0 μB per formula unit. For the formation enthalpy at 0 K, the calculation gives 1.7873 eV/atom.

# 13
An optimized crystal structure of Ti2Be2Cu, computed with GGA-PBE.

```
Ti2Be2Cu
1.0
3.673 0.000 0.000
0.000 11.710 0.000
0.000 0.000 2.920
Ti Be Cu
4 4 2
Direct
0.000 0.127 0.000 Ti
0.000 0.873 0.000 Ti
0.500 0.373 0.000 Ti
0.500 0.627 0.000 Ti
0.000 0.299 0.500 Be
0.000 0.701 0.500 Be
0.500 0.201 0.500 Be
0.500 0.799 0.500 Be
0.000 0.500 0.500 Cu
0.500 0.000 0.500 Cu
```

Calculated values
The calculation puts the offset from the most stable computed form at 32 meV/atom. Its space group is Cmmm (65). Its total magnetic moment is 0.0 μB per formula unit. For the formation enthalpy at 0 K, the calculation gives -0.1127 eV/atom.

# 14
An optimized crystal structure of LaNdTm2Sb4, computed with GGA-PBE.

```
LaNdTm2Sb4
1.0
7.701 0.000 0.000
0.000 4.467 0.000
-2.588 0.000 7.285
La Nd Tm Sb
1 1 2 4
Direct
0.000 0.000 0.000 La
0.000 0.500 0.500 Nd
0.500 0.000 0.500 Tm
0.500 0.500 0.000 Tm
0.264 0.000 0.753 Sb
0.265 0.500 0.257 Sb
0.735 0.500 0.743 Sb
0.736 0.000 0.247 Sb
```

Calculated values
Its space group is P2/m (10). Its total magnetic moment is 0.0 μB per formula unit. The energy relative to the elements, uncorrected comes out at -1144 meV/atom.

# 15
An optimized crystal structure of Pd4N, computed with GGA-PBE.

```
Pd4N
1.0
4.139 0.000 0.000
0.000 4.139 0.000
0.000 0.000 4.139
Pd N
4 1
Direct
0.000 0.000 0.000 Pd
0.000 0.500 0.500 Pd
0.500 0.000 0.500 Pd
0.500 0.500 0.000 Pd
0.500 0.500 0.500 N
```

Calculated values
Its space group is Pm-3m (221). Its total magnetic moment is 0.0 μB per formula unit. The energy relative to the elements, uncorrected comes out at 266 meV/atom.

# 16
An optimized crystal structure of Pr4RuBrCl2, computed with GGA-PBE.

```
Pr4RuBrCl2
1.0
7.368 0.000 0.000
0.000 4.065 0.000
-2.395 0.000 7.577
Pr Ru Br Cl
4 1 1 2
Direct
0.218 0.000 0.209 Pr
0.251 0.500 0.790 Pr
0.749 0.500 0.210 Pr
0.782 0.000 0.791 Pr
0.000 0.500 0.000 Ru
0.000 0.000 0.500 Br
0.500 0.000 0.000 Cl
0.500 0.500 0.500 Cl
```

Calculated values
Its space group is P2/m (10). Its total magnetic moment is 0.0 μB per formula unit. The energy relative to the elements, uncorrected comes out at -1066 meV/atom.

# 17
An optimized crystal structure of NaTl4Sn, computed with GGA-PBE.

```
NaTl4Sn
1.0
5.162 0.000 0.000
0.000 13.425 0.000
0.000 0.000 5.047
Na Tl Sn
2 8 2
Direct
0.000 0.000 0.000 Na
0.500 0.500 0.000 Na
0.000 0.162 0.500 Tl
0.000 0.335 0.000 Tl
0.000 0.665 0.000 Tl
0.000 0.838 0.500 Tl
0.500 0.165 0.000 Tl
0.500 0.338 0.500 Tl
0.500 0.662 0.500 Tl
0.500 0.835 0.000 Tl
0.000 0.500 0.500 Sn
0.500 0.000 0.500 Sn
```

Calculated values
The calculation puts the offset from the most stable computed form at 0 meV/atom. Its space group is Cmmm (65). Its total magnetic moment is 0.0 μB per formula unit. For the formation enthalpy at 0 K, the calculation gives -0.0431 eV/atom.

# 18
An optimized crystal structure of Sc2TiPt, computed with GGA-PBE.

```
Sc2TiPt
1.0
3.301 0.000 0.000
0.000 3.301 0.000
0.000 0.000 7.038
Sc Ti Pt
2 1 1
Direct
0.000 0.000 0.228 Sc
0.000 0.000 0.772 Sc
0.500 0.500 0.500 Ti
0.500 0.500 0.000 Pt
```

Calculated values
Its space group is P4/mmm (123). Its total magnetic moment is 0.0 μB per formula unit. For the formation enthalpy at 0 K, the calculation gives -0.5607 eV/atom.

# 19
An optimized crystal structure of NaCaTbCd, computed with GGA-PBE.

```
NaCaTbCd
1.0
7.767 0.000 0.000
0.000 7.767 0.000
0.000 0.000 7.767
Na Ca Tb Cd
4 4 4 4
Direct
0.000 0.000 0.000 Na
0.000 0.500 0.500 Na
0.500 0.000 0.500 Na
0.500 0.500 0.000 Na
0.250 0.250 0.250 Ca
0.250 0.750 0.750 Ca
0.750 0.250 0.750 Ca
0.750 0.750 0.250 Ca
0.250 0.250 0.750 Tb
0.250 0.750 0.250 Tb
0.750 0.250 0.250 Tb
0.750 0.750 0.750 Tb
0.000 0.000 0.500 Cd
0.000 0.500 0.000 Cd
0.500 0.000 0.000 Cd
0.500 0.500 0.500 Cd
```

Calculated values
Its space group is F-43m (216). Its total magnetic moment is 0.0 μB per formula unit. For the formation enthalpy at 0 K, the calculation gives -0.0278 eV/atom.

# 20
An optimized crystal structure of DyHo3Th2, computed with GGA-PBE.

```
DyHo3Th2
1.0
3.455 -5.689 0.000
3.455 5.689 0.000
0.000 0.000 11.317
Dy Ho Th
2 6 4
Direct
0.003 0.997 0.750 Dy
0.997 0.003 0.250 Dy
0.003 0.497 0.750 Ho
0.497 0.003 0.250 Ho
0.497 0.503 0.250 Ho
0.503 0.497 0.750 Ho
0.503 0.997 0.750 Ho
0.997 0.503 0.250 Ho
0.251 0.251 0.000 Th
0.251 0.251 0.500 Th
0.749 0.749 0.000 Th
0.749 0.749 0.500 Th
```

Calculated values
The calculation puts the offset from the most stable computed form at 537 meV/atom. Its space group is Cmcm (63). Its total magnetic moment is 0.0 μB per formula unit. For the formation enthalpy at 0 K, the calculation gives 0.5657 eV/atom.

# 21
An optimized crystal structure of MoSeCl, computed with GGA-PBE.

```
MoSeCl
1.0
3.242 0.000 0.000
-1.621 2.808 0.000
0.000 0.000 7.496
Mo Se Cl
1 1 1
Direct
0.000 0.000 0.000 Mo
0.333 0.667 0.226 Se
0.667 0.333 0.764 Cl
```

Calculated values
Its space group is P3m1 (156). Its total magnetic moment is 0.0 μB per formula unit. The energy relative to the elements, uncorrected comes out at -491 meV/atom.

# 22
An optimized crystal structure of Ce2GaHg, computed with GGA-PBE.

```
Ce2GaHg
1.0
3.923 0.000 0.000
0.000 3.923 0.000
0.000 0.000 6.591
Ce Ga Hg
2 1 1
Direct
0.000 0.000 0.210 Ce
0.000 0.000 0.790 Ce
0.500 0.500 0.000 Ga
0.500 0.500 0.500 Hg
```

Calculated values
Its space group is P4/mmm (123). Its total magnetic moment is 1.3 μB per formula unit. For the formation enthalpy at 0 K, the calculation gives -0.3913 eV/atom.

# 23
An optimized crystal structure of Pm8Dy3Pu, computed with GGA-PBE.

```
Pm8Dy3Pu
1.0
-4.350 4.350 5.766
4.350 -4.350 5.766
4.350 4.350 -5.766
Pm Dy Pu
8 3 1
Direct
0.139 0.139 0.751 Pm
0.241 0.711 0.000 Pm
0.289 0.289 0.530 Pm
0.388 0.388 0.249 Pm
0.612 0.861 0.000 Pm
0.711 0.241 0.000 Pm
0.759 0.759 0.470 Pm
0.861 0.612 0.000 Pm
0.000 0.000 0.000 Dy
0.250 0.750 0.500 Dy
0.750 0.250 0.500 Dy
0.500 0.500 0.000 Pu
```

Calculated values
Its space group is I-42m (121). Its total magnetic moment is 4.7 μB per formula unit. For the formation enthalpy at 0 K, the calculation gives 0.5433 eV/atom.

# 24
An optimized crystal structure of BaBeRe2, computed with GGA-PBE.

```
BaBeRe2
1.0
5.362 0.000 0.000
0.000 10.437 0.000
0.000 0.000 2.760
Ba Be Re
2 2 4
Direct
0.000 0.000 0.000 Ba
0.500 0.500 0.000 Ba
0.000 0.500 0.000 Be
0.500 0.000 0.000 Be
0.250 0.250 0.500 Re
0.250 0.750 0.500 Re
0.750 0.250 0.500 Re
0.750 0.750 0.500 Re
```

Calculated values
Its space group is Cmmm (65). Its total magnetic moment is 0.0 μB per formula unit. For the formation enthalpy at 0 K, the calculation gives 1.6475 eV/atom.

# 25
An optimized crystal structure of Y2SnB2Ru5, computed with GGA-PBE.

```
Y2SnB2Ru5
1.0
9.762 0.000 0.000
0.000 9.762 0.000
0.000 0.000 3.148
Y Sn B Ru
4 2 4 10
Direct
0.177 0.323 0.000 Y
0.323 0.823 0.000 Y
0.677 0.177 0.000 Y
0.823 0.677 0.000 Y
0.000 0.000 0.000 Sn
0.500 0.500 0.000 Sn
0.121 0.621 0.000 B
0.379 0.121 0.000 B
0.621 0.879 0.000 B
0.879 0.379 0.000 B
0.000 0.500 0.500 Ru
0.069 0.775 0.500 Ru
0.225 0.069 0.500 Ru
0.275 0.569 0.500 Ru
0.431 0.275 0.500 Ru
0.500 0.000 0.500 Ru
0.569 0.725 0.500 Ru
0.725 0.431 0.500 Ru
0.775 0.931 0.500 Ru
0.931 0.225 0.500 Ru
```

Calculated values
Its space group is P4/mbm (127). Its total magnetic moment is 0.0 μB per formula unit. For the formation enthalpy at 0 K, the calculation gives -0.4567 eV/atom.

# 26
An optimized crystal structure of CdIrAu2, computed with GGA-PBE.

```
CdIrAu2
1.0
2.962 0.000 0.000
0.000 4.912 0.000
0.000 0.000 9.687
Cd Ir Au
2 2 4
Direct
0.000 0.000 0.000 Cd
0.500 0.500 0.000 Cd
0.000 0.500 0.242 Ir
0.500 0.000 0.242 Ir
0.000 0.000 0.485 Au
0.000 0.500 0.742 Au
0.500 0.000 0.742 Au
0.500 0.500 0.485 Au
```

Calculated values
Its space group is Cmm2 (35). Its total magnetic moment is 0.0 μB per formula unit. For the formation enthalpy at 0 K, the calculation gives 0.2000 eV/atom.

# 27
An optimized crystal structure of Tl2AgP, computed with GGA-PBE.

```
Tl2AgP
1.0
4.506 0.000 0.000
0.000 4.466 0.000
-2.097 0.000 5.116
Tl Ag P
2 1 1
Direct
0.000 0.000 0.000 Tl
0.314 0.500 0.615 Tl
0.675 0.000 0.420 Ag
0.658 0.500 0.215 P
```

Calculated values
The calculation puts the offset from the most stable computed form at 90 meV/atom. Its space group is Pm (6). Its total magnetic moment is 0.0 μB per formula unit. For the formation enthalpy at 0 K, the calculation gives 0.1550 eV/atom.